PmSm4Tm4 | PBE | optimized geometry

abc: 5.680 6.962 8.336
angles: 99.66 109.78 90.05
Fractional coordinates of all 9 atoms:
Pm: 0.000 0.000 0.000
Sm: 0.178 0.470 0.354
Sm: 0.383 0.809 0.767
Sm: 0.617 0.191 0.233
Sm: 0.822 0.530 0.646
Tm: 0.201 0.984 0.402
Tm: 0.397 0.295 0.797
Tm: 0.603 0.705 0.203
Tm: 0.799 0.016 0.598

Summary:
For the formation energy, the calculation gives 0.178 eV/atom.


Pu4SnGeC | PBE | optimized geometry

abc: 8.504 8.504 6.648
angles: 90.00 90.00 134.10
Fractional coordinates of all 14 atoms:
Pu: 0.000 0.500 0.000
Pu: 0.000 0.500 0.500
Pu: 0.078 0.922 0.750
Pu: 0.407 0.593 0.750
Pu: 0.500 0.000 0.000
Pu: 0.500 0.000 0.500
Pu: 0.593 0.407 0.250
Pu: 0.922 0.078 0.250
Sn: 0.393 0.607 0.250
Sn: 0.607 0.393 0.750
Ge: 0.118 0.882 0.250
Ge: 0.882 0.118 0.750
C: 0.241 0.759 0.750
C: 0.759 0.241 0.250

Summary:
For the formation energy, the calculation gives -0.175 eV/atom.


NaIn2Pb2 | PBE | optimized geometry

abc: 5.454 5.454 16.725
angles: 90.00 90.00 120.00
Fractional coordinates of all 15 atoms:
Na: 0.000 0.000 0.000
Na: 0.333 0.667 0.667
Na: 0.667 0.333 0.333
In: 0.000 0.000 0.198
In: 0.000 0.000 0.802
In: 0.333 0.667 0.468
In: 0.333 0.667 0.865
In: 0.667 0.333 0.135
In: 0.667 0.333 0.532
Pb: 0.000 0.000 0.399
Pb: 0.000 0.000 0.601
Pb: 0.333 0.667 0.066
Pb: 0.333 0.667 0.267
Pb: 0.667 0.333 0.733
Pb: 0.667 0.333 0.934

Summary:
As for the relative energy among the computed polymorphs: 44 meV per atom. For the formation energy, the calculation gives -0.028 eV/atom.


Li5Hg2Pb2 | PBE | optimized geometry

abc: 8.018 8.018 7.185
angles: 90.00 90.00 55.88
Fractional coordinates of all 18 atoms:
Li: 0.000 0.000 0.000
Li: 0.045 0.698 0.675
Li: 0.198 0.545 0.175
Li: 0.302 0.955 0.675
Li: 0.455 0.802 0.175
Li: 0.500 0.500 0.500
Li: 0.545 0.198 0.825
Li: 0.698 0.045 0.325
Li: 0.802 0.455 0.825
Li: 0.955 0.302 0.325
Hg: 0.143 0.857 0.363
Hg: 0.357 0.643 0.863
Hg: 0.643 0.357 0.137
Hg: 0.857 0.143 0.637
Pb: 0.218 0.218 0.000
Pb: 0.282 0.282 0.500
Pb: 0.718 0.718 0.500
Pb: 0.782 0.782 0.000

Summary:
As for the relative energy among the computed polymorphs: 46 meV per atom. For the formation energy, the calculation gives -0.239 eV/atom.


Sm6Dy3Y | PBE | optimized geometry

abc: 11.041 11.041 6.370
angles: 90.00 90.00 120.85
Fractional coordinates of all 20 atoms:
Sm: 0.034 0.966 0.500
Sm: 0.057 0.480 0.020
Sm: 0.280 0.720 0.728
Sm: 0.285 0.373 0.828
Sm: 0.373 0.285 0.328
Sm: 0.480 0.057 0.520
Sm: 0.520 0.943 0.020
Sm: 0.627 0.715 0.828
Sm: 0.715 0.627 0.328
Sm: 0.720 0.280 0.228
Sm: 0.943 0.520 0.520
Sm: 0.966 0.034 0.000
Dy: 0.055 0.284 0.406
Dy: 0.284 0.055 0.906
Dy: 0.386 0.614 0.295
Dy: 0.614 0.386 0.795
Dy: 0.716 0.945 0.406
Dy: 0.945 0.716 0.906
Y: 0.192 0.808 0.270
Y: 0.808 0.192 0.770

Summary:
As for the relative energy among the computed polymorphs: 24 meV per atom. For the formation energy, the calculation gives 0.149 eV/atom.


CaAgAs | PBE | optimized geometry

abc: 4.879 6.118 4.891
angles: 90.00 106.79 90.00
Fractional coordinates of all 6 atoms:
Ca: 0.152 0.000 0.348
Ca: 0.848 0.500 0.652
Ag: 0.499 0.750 0.999
Ag: 0.501 0.250 0.001
As: 0.230 0.500 0.269
As: 0.770 0.000 0.731

Summary:
For the formation energy, the calculation gives -0.650 eV/atom.


TcPt8Rh4 | PBE | optimized geometry

abc: 6.071 6.071 6.071
angles: 90.00 90.00 90.00
Fractional coordinates of all 13 atoms:
Tc: 0.000 0.000 0.000
Pt: 0.257 0.257 0.257
Pt: 0.257 0.257 0.743
Pt: 0.257 0.743 0.257
Pt: 0.257 0.743 0.743
Pt: 0.743 0.257 0.257
Pt: 0.743 0.257 0.743
Pt: 0.743 0.743 0.257
Pt: 0.743 0.743 0.743
Rh: 0.000 0.000 0.500
Rh: 0.000 0.500 0.000
Rh: 0.500 0.000 0.000
Rh: 0.500 0.500 0.500

Summary:
For the formation energy, the calculation gives 0.398 eV/atom.


TiH2Ru | PBE | optimized geometry

abc: 2.959 2.959 14.770
angles: 90.00 90.00 120.00
Fractional coordinates of all 12 atoms:
Ti: 0.000 0.000 0.000
Ti: 0.333 0.667 0.667
Ti: 0.667 0.333 0.333
H: 0.000 0.000 0.126
H: 0.000 0.000 0.874
H: 0.333 0.667 0.541
H: 0.333 0.667 0.793
H: 0.667 0.333 0.207
H: 0.667 0.333 0.459
Ru: 0.000 0.000 0.500
Ru: 0.333 0.667 0.167
Ru: 0.667 0.333 0.833

Summary:
As for the relative energy among the computed polymorphs: 239 meV per atom.


CeScPa | PBE | optimized geometry

abc: 3.278 3.278 14.277
angles: 90.00 90.00 90.00
Fractional coordinates of all 6 atoms:
Ce: 0.250 0.250 0.248
Ce: 0.750 0.750 0.752
Sc: 0.250 0.250 0.582
Sc: 0.750 0.750 0.418
Pa: 0.250 0.250 0.918
Pa: 0.750 0.750 0.082

Summary:
As for the relative energy among the computed polymorphs: 0 meV per atom. For the formation energy, the calculation gives 0.055 eV/atom.


Ba6Na5In | PBE | optimized geometry

abc: 6.356 9.406 10.122
angles: 90.00 108.19 90.00
Fractional coordinates of all 12 atoms:
Ba: 0.000 0.224 0.000
Ba: 0.000 0.776 0.000
Ba: 0.347 0.235 0.692
Ba: 0.347 0.765 0.692
Ba: 0.653 0.235 0.308
Ba: 0.653 0.765 0.308
Na: 0.168 0.500 0.340
Na: 0.174 0.000 0.351
Na: 0.500 0.500 0.000
Na: 0.826 0.000 0.649
Na: 0.832 0.500 0.660
In: 0.500 0.000 0.000

Summary:
For the formation energy, the calculation gives -0.081 eV/atom.


Ag2AsRu | PBE | optimized geometry

abc: 2.794 2.794 8.911
angles: 90.00 90.00 90.00
Fractional coordinates of all 4 atoms:
Ag: 0.000 0.000 0.238
Ag: 0.000 0.000 0.762
As: 0.500 0.500 0.500
Ru: 0.500 0.500 0.000

Summary:
For the formation energy, the calculation gives 0.454 eV/atom.


CrNiCl2 | PBE | optimized geometry

abc: 9.245 3.408 5.616
angles: 90.00 93.26 90.00
Fractional coordinates of all 8 atoms:
Cr: 0.000 0.000 0.000
Cr: 0.500 0.500 0.000
Ni: 0.291 0.000 0.029
Ni: 0.791 0.500 0.029
Cl: 0.163 0.500 0.199
Cl: 0.413 0.000 0.709
Cl: 0.663 0.000 0.199
Cl: 0.913 0.500 0.709

Summary:
As for the relative energy among the computed polymorphs: 115 meV per atom. Its uncorrected formation energy is -16.8 kJ per mole of atoms.


Nd2HoSn3Rh4 | PBE | optimized geometry

abc: 4.412 4.412 11.454
angles: 90.00 90.00 90.00
Fractional coordinates of all 10 atoms:
Nd: 0.000 0.500 0.232
Nd: 0.500 0.000 0.768
Ho: 0.000 0.000 0.500
Sn: 0.000 0.500 0.874
Sn: 0.500 0.000 0.126
Sn: 0.500 0.500 0.500
Rh: 0.000 0.000 0.000
Rh: 0.000 0.500 0.646
Rh: 0.500 0.000 0.354
Rh: 0.500 0.500 0.000

Summary:
For the formation energy, the calculation gives -0.753 eV/atom.


ZrCu2Mo | PBE | optimized geometry

abc: 2.786 2.786 28.225
angles: 90.00 90.00 120.00
Fractional coordinates of all 12 atoms:
Zr: 0.000 0.000 0.000
Zr: 0.333 0.667 0.667
Zr: 0.667 0.333 0.333
Cu: 0.000 0.000 0.246
Cu: 0.000 0.000 0.754
Cu: 0.333 0.667 0.421
Cu: 0.333 0.667 0.912
Cu: 0.667 0.333 0.088
Cu: 0.667 0.333 0.579
Mo: 0.000 0.000 0.500
Mo: 0.333 0.667 0.167
Mo: 0.667 0.333 0.833

Summary:
As for the relative energy among the computed polymorphs: 259 meV per atom. For the formation energy, the calculation gives 0.347 eV/atom.


Ca2MgW | PBE | optimized geometry

abc: 7.363 7.363 7.363
angles: 90.00 90.00 90.00
Fractional coordinates of all 16 atoms:
Ca: 0.000 0.000 0.000
Ca: 0.000 0.500 0.500
Ca: 0.250 0.250 0.250
Ca: 0.250 0.750 0.750
Ca: 0.500 0.000 0.500
Ca: 0.500 0.500 0.000
Ca: 0.750 0.250 0.750
Ca: 0.750 0.750 0.250
Mg: 0.000 0.000 0.500
Mg: 0.000 0.500 0.000
Mg: 0.500 0.000 0.000
Mg: 0.500 0.500 0.500
W: 0.250 0.250 0.750
W: 0.250 0.750 0.250
W: 0.750 0.250 0.250
W: 0.750 0.750 0.750

Summary:
For the formation energy, the calculation gives 0.825 eV/atom.


TlPt2Pb | PBE | optimized geometry

abc: 3.845 4.099 5.740
angles: 90.00 107.65 90.00
Fractional coordinates of all 4 atoms:
Tl: 0.000 0.000 0.000
Pt: 0.253 0.000 0.538
Pt: 0.444 0.500 0.871
Pb: 0.693 0.500 0.399

Summary:
For the formation energy, the calculation gives -0.105 eV/atom.


| no. | DOS at the Fermi energy (states/eV/atom) | energy (eV/atom) |
| --- | --- | --- |
| 1 | 1.295 | -4.435 |
| 2 | 4.192 | -10.914 |
| 3 | 0.638 | -2.871 |
| 4 | 0.360 | -2.193 |
| 5 | 1.455 | -4.710 |
| 6 | 0.000 | -3.817 |
| 7 | 1.763 | -6.378 |
| 8 | 0.693 | -5.985 |
| 9 | 2.139 | -7.199 |
| 10 | 0.931 | -1.820 |
| 11 | 0.567 | -4.453 |
| 12 | 0.605 | -4.948 |
| 13 | 0.780 | -6.306 |
| 14 | 1.124 | -6.546 |
| 15 | 0.691 | -3.812 |
| 16 | 0.400 | -4.644 |